1.
BePCO2 | the Alexandria database | PBE-GGA | relaxed; crystal system = tetragonal; polymorph energy (0 for the lowest one) = 0.6746 eV/atom; space group = P4/mmm; ρ = 2.96 g/cm3
1.0
3.2734 0.0000 0.0000
0.0000 3.2734 0.0000
0.0000 0.0000 4.3933
P C O Be
1 1 2 1
direct
0.0000 0.0000 0.5000 P
0.0000 0.0000 0.0000 C
0.0000 0.5000 0.0000 O
0.5000 0.0000 0.0000 O
0.5000 0.5000 0.5000 Be

---

2.
BePCO2 | the Alexandria database | PBE-GGA | relaxed; crystal system = tetragonal; polymorph energy (0 for the lowest one) = 0.0000 eV/atom; space group = P4/mmm; ρ = 2.08 g/cm3
1.0
-0.5814 -2.6002 1.3351
2.8311 -0.8394 -0.4020
1.8405 3.0135 6.6706
P C O Be
1 1 2 1
direct
0.0000 0.0000 0.5000 P
0.5000 0.5000 0.5000 C
0.0000 0.5000 0.0000 O
0.5000 0.0000 0.0000 O
0.0000 0.0000 0.0000 Be

---

no.,E_form (uncorrected) (kJ/mol of formula units)
1,489
2,163